Record 1
Material: BaGa2Pd2
Method: DFT, GGA-PBE
State: optimized geometry

Cell lengths 8.015, 8.015, 3.261 Å; angles 90.00, 90.00, 90.00 degrees
Element x y z (fractional)
1 Ba 0.000 0.000 0.000
2 Ba 0.500 0.500 0.000
3 Ga 0.134 0.366 0.500
4 Ga 0.366 0.866 0.500
5 Ga 0.634 0.134 0.500
6 Ga 0.866 0.634 0.500
7 Pd 0.133 0.633 0.000
8 Pd 0.367 0.133 0.000
9 Pd 0.633 0.867 0.000
10 Pd 0.867 0.367 0.000

Output
The space group is P4/mbm, No. 127. For the density of states at the Fermi level, the calculation gives 1.990 states/eV/f.u. Its calculated formation energy is -375 meV per atom. The size of the total moment comes out at 0.00 μB/f.u. The raw total energy comes out at -4.05 eV/atom.

Record 2
Material: Ba6GaPd3
Method: DFT, GGA-PBE
State: optimized geometry

Cell lengths 11.712, 4.593, 16.231 Å; angles 90.00, 111.07, 90.00 degrees
Element x y z (fractional)
1 Ba 0.014 0.250 0.113
2 Ba 0.057 0.750 0.406
3 Ba 0.250 0.250 0.822
4 Ba 0.335 0.250 0.592
5 Ba 0.347 0.250 0.332
6 Ba 0.367 0.750 0.087
7 Ba 0.633 0.250 0.913
8 Ba 0.653 0.750 0.668
9 Ba 0.665 0.750 0.408
10 Ba 0.750 0.750 0.178
11 Ba 0.943 0.250 0.594
12 Ba 0.986 0.750 0.887
13 Ga 0.416 0.750 0.762
14 Ga 0.584 0.250 0.238
15 Pd 0.172 0.250 0.992
16 Pd 0.181 0.750 0.661
17 Pd 0.418 0.750 0.476
18 Pd 0.582 0.250 0.524
19 Pd 0.819 0.250 0.339
20 Pd 0.828 0.750 0.008

Output
The space group is P2_1/m, No. 11. For the density of states at the Fermi level, the calculation gives 7.084 states/eV/f.u. Its calculated formation energy is -383 meV per atom. The size of the total moment comes out at 0.00 μB/f.u. The raw total energy comes out at -3.40 eV/atom.

Record 3
Material: BaGa2Pd3
Method: DFT, GGA-PBE
State: optimized geometry

Cell lengths 8.250, 8.250, 8.082 Å; angles 113.63, 113.63, 30.24 degrees
Element x y z (fractional)
1 Ba 0.158 0.158 0.080
2 Ba 0.842 0.842 0.920
3 Ga 0.173 0.173 0.628
4 Ga 0.482 0.482 0.815
5 Ga 0.518 0.518 0.185
6 Ga 0.827 0.827 0.372
7 Pd 0.026 0.026 0.350
8 Pd 0.318 0.318 0.564
9 Pd 0.403 0.403 0.325
10 Pd 0.597 0.597 0.675
11 Pd 0.682 0.682 0.436
12 Pd 0.974 0.974 0.650

Output
The space group is C2/m, No. 12. For the density of states at the Fermi level, the calculation gives 2.845 states/eV/f.u. Its calculated formation energy is -621 meV per atom. The size of the total moment comes out at 0.00 μB/f.u. The raw total energy comes out at -4.55 eV/atom.

Record 4
Material: BaGa2Pd2
Method: DFT, GGA-PBE
State: optimized geometry

Cell lengths 6.411, 6.411, 6.411 Å; angles 138.96, 138.96, 59.43 degrees
Element x y z (fractional)
1 Ba 0.000 0.000 0.000
2 Ga 0.358 0.358 0.000
3 Ga 0.642 0.642 0.000
4 Pd 0.250 0.750 0.500
5 Pd 0.750 0.250 0.500

Output
The space group is I4/mmm, No. 139. For the density of states at the Fermi level, the calculation gives 2.869 states/eV/f.u. Its calculated formation energy is -661 meV per atom. The size of the total moment comes out at 0.00 μB/f.u. The raw total energy comes out at -4.33 eV/atom.

Record 5
Material: Ba4Ga3Pd2
Method: DFT, GGA-PBE
State: optimized geometry

Cell lengths 9.013, 9.013, 7.939 Å; angles 108.15, 108.15, 27.34 degrees
Element x y z (fractional)
1 Ba 0.078 0.078 0.394
2 Ba 0.266 0.266 0.807
3 Ba 0.734 0.734 0.193
4 Ba 0.922 0.922 0.606
5 Ga 0.405 0.405 0.227
6 Ga 0.500 0.500 0.000
7 Ga 0.595 0.595 0.773
8 Pd 0.082 0.082 0.955
9 Pd 0.918 0.918 0.045

Output
The space group is C2/m, No. 12. For the density of states at the Fermi level, the calculation gives 7.153 states/eV/f.u. Its calculated formation energy is -470 meV per atom. The size of the total moment comes out at 0.00 μB/f.u. The raw total energy comes out at -3.49 eV/atom.

Record 6
Material: BaPmGa2Pd2
Method: DFT, GGA-PBE
State: optimized geometry

Cell lengths 4.565, 4.565, 8.144 Å; angles 90.00, 90.00, 120.00 degrees
Element x y z (fractional)
1 Ba 0.000 0.000 0.000
2 Pm 0.000 0.000 0.500
3 Ga 0.333 0.667 0.293
4 Ga 0.667 0.333 0.707
5 Pd 0.333 0.667 0.700
6 Pd 0.667 0.333 0.300

Output
The space group is P-3m1, No. 164. For the density of states at the Fermi level, the calculation gives 2.384 states/eV/f.u. Its calculated formation energy is -727 meV per atom. The size of the total moment comes out at 0.00 μB/f.u. The raw total energy comes out at -4.58 eV/atom.

Look up the size of the total moment of the sixth one.
0.00 μB/f.u.

What did the sixth record say?
Material: BaPmGa2Pd2
Method: DFT, GGA-PBE
State: optimized geometry

Cell lengths 4.565, 4.565, 8.144 Å; angles 90.00, 90.00, 120.00 degrees
Element x y z (fractional)
1 Ba 0.000 0.000 0.000
2 Pm 0.000 0.000 0.500
3 Ga 0.333 0.667 0.293
4 Ga 0.667 0.333 0.707
5 Pd 0.333 0.667 0.700
6 Pd 0.667 0.333 0.300

Output
The space group is P-3m1, No. 164. For the density of states at the Fermi level, the calculation gives 2.384 states/eV/f.u. Its calculated formation energy is -727 meV per atom. The size of the total moment comes out at 0.00 μB/f.u. The raw total energy comes out at -4.58 eV/atom.